(1)
First-principles (GGA-PBE) data for a relaxed CeCuOs crystal, as listed in Alexandria.

The energy relative to the elements is 18.4 kJ/mol of atoms. The excess energy over the best structure of this formula in the dataset is 1.13 eV per formula unit. The calculation puts the volume at 23.0 A^3/atom.

It has space group Cmcm (No. 63), with a = 4.076 Å, b = 13.632 Å, c = 4.964 Å, α = 90.00°, β = 90.00° and γ = 90.00°. Symmetry generates all atoms from Ce at (0.000, 0.117, 0.250), Cu at (0.000, 0.335, 0.250) and Os at (0.000, 0.500, 0.000).



(2)
First-principles (GGA-PBE) data for a relaxed CeCuOs crystal, as listed in Alexandria.

The energy relative to the elements is -17.8 kJ/mol of atoms. The excess energy over the best structure of this formula in the dataset is 0.00 eV per formula unit. The calculation puts the volume at 17.4 A^3/atom.

It has space group Imma (No. 74), with a = 4.855 Å, b = 5.506 Å, c = 7.832 Å, α = 90.00°, β = 90.00° and γ = 90.00°. Symmetry generates all atoms from Ce at (0.000, 0.250, 0.130), Cu at (0.250, 0.250, 0.750) and Os at (0.000, 0.000, 0.500).



(3)
First-principles (GGA-PBE) data for a relaxed Ce2Cu6Os crystal, as listed in Alexandria.

The energy relative to the elements is -8.4 kJ/mol of atoms. The calculation puts the volume at 16.2 A^3/atom.

It has space group C2/m (No. 12), with a = 8.354 Å, b = 5.902 Å, c = 6.023 Å, α = 90.00°, β = 100.29° and γ = 90.00°. Symmetry generates all atoms from Ce at (0.183, 0.000, 0.371), Cu at (0.105, 0.212, 0.853), Cu at (0.133, 0.500, 0.150) and Os at (0.000, 0.500, 0.500).



(4)
First-principles (GGA-PBE) data for a relaxed Ce3CuOs crystal, as listed in Alexandria.

The energy relative to the elements is -7.8 kJ/mol of atoms. The calculation puts the volume at 22.9 A^3/atom.

It has space group C2/m (No. 12), with a = 11.248 Å, b = 4.363 Å, c = 9.881 Å, α = 90.00°, β = 108.97° and γ = 90.00°. Symmetry generates all atoms from Ce at (0.077, 0.000, 0.375), Ce at (0.115, 0.500, 0.906), Ce at (0.206, 0.500, 0.285), Cu at (0.111, 0.500, 0.589) and Os at (0.116, 0.000, 0.092).



(5)
First-principles (GGA-PBE) data for a relaxed Ce6CuOs2 crystal, as listed in Alexandria.

The energy relative to the elements is -14.7 kJ/mol of atoms. The calculation puts the volume at 23.2 A^3/atom.

It has space group C2/m (No. 12), with a = 9.881 Å, b = 4.919 Å, c = 8.678 Å, α = 90.00°, β = 98.60° and γ = 90.00°. Symmetry generates all atoms from Ce at (0.047, 0.000, 0.345), Ce at (0.118, 0.500, 0.676), Ce at (0.187, 0.500, 0.084), Cu at (0.000, 0.000, 0.000) and Os at (0.222, 0.500, 0.381).



(6)
First-principles (GGA-PBE) data for a relaxed Ce12CuOs6 crystal, as listed in Alexandria.

The energy relative to the elements is -2.6 kJ/mol of atoms. The calculation puts the volume at 27.4 A^3/atom.

It has space group R-3 (No. 148, hexagonal axes), with a = 12.5700 Å, b = 12.5700 Å, c = 11.4120 Å, α = 90.00°, β = 90.00° and γ = 120.00°. Symmetry generates all atoms from Ce at (0.0270, 0.2081, 0.3890), Ce at (0.0335, 0.2131, 0.8852), Cu at (0.0000, 0.0000, 0.0000) and Os at (0.0480, 0.2640, 0.6524).



(7)
First-principles (GGA-PBE) data for a relaxed Ce8CuOs5 crystal, as listed in Alexandria.

The energy relative to the elements is -14.6 kJ/mol of atoms. The calculation puts the volume at 23.2 A^3/atom.

It has space group I-4 (No. 82), with a = 8.728 Å, b = 8.728 Å, c = 8.524 Å, α = 90.00°, β = 90.00° and γ = 90.00°. Symmetry generates all atoms from Ce at (0.059, 0.320, 0.068), Ce at (0.063, 0.195, 0.679), Cu at (0.000, 0.000, 0.000), Os at (0.000, 0.500, 0.750) and Os at (0.138, 0.249, 0.368).



(8)
First-principles (GGA-PBE) data for a relaxed TbCeCuOs crystal, as listed in Alexandria.

The energy relative to the elements is -16.6 kJ/mol of atoms. The calculation puts the volume at 20.9 A^3/atom.

It has space group F-43m (No. 216), with a = 6.936 Å, b = 6.936 Å, c = 6.936 Å, α = 90.00°, β = 90.00° and γ = 90.00°. Symmetry generates all atoms from Tb at (0.000, 0.000, 0.000), Ce at (0.000, 0.000, 0.500), Cu at (0.250, 0.250, 0.750) and Os at (0.250, 0.250, 0.250).



(9)
First-principles (GGA-PBE) data for a relaxed CeThCuOs crystal, as listed in Alexandria.

The energy relative to the elements is -14.4 kJ/mol of atoms. The calculation puts the volume at 22.0 A^3/atom.

It has space group F-43m (No. 216), with a = 7.055 Å, b = 7.055 Å, c = 7.055 Å, α = 90.00°, β = 90.00° and γ = 90.00°. Symmetry generates all atoms from Ce at (0.000, 0.000, 0.000), Th at (0.000, 0.000, 0.500), Cu at (0.250, 0.250, 0.750) and Os at (0.250, 0.250, 0.250).



(10)
First-principles (GGA-PBE) data for a relaxed CeTmCuOs crystal, as listed in Alexandria.

The energy relative to the elements is -20.9 kJ/mol of atoms. The calculation puts the volume at 20.3 A^3/atom.

It has space group F-43m (No. 216), with a = 6.878 Å, b = 6.878 Å, c = 6.878 Å, α = 90.00°, β = 90.00° and γ = 90.00°. Symmetry generates all atoms from Ce at (0.000, 0.000, 0.000), Tm at (0.000, 0.000, 0.500), Cu at (0.250, 0.250, 0.750) and Os at (0.250, 0.250, 0.250).



(11)
First-principles (GGA-PBE) data for a relaxed CeUCuOs crystal, as listed in Alexandria.

The energy relative to the elements is -5.2 kJ/mol of atoms. The calculation puts the volume at 17.9 A^3/atom.

It has space group F-43m (No. 216), with a = 6.597 Å, b = 6.597 Å, c = 6.597 Å, α = 90.00°, β = 90.00° and γ = 90.00°. Symmetry generates all atoms from Ce at (0.000, 0.000, 0.000), U at (0.250, 0.250, 0.750), Cu at (0.250, 0.250, 0.250) and Os at (0.000, 0.000, 0.500).



(12)
First-principles (GGA-PBE) data for a relaxed CeZrCuOs crystal, as listed in Alexandria.

The energy relative to the elements is -13.0 kJ/mol of atoms. The calculation puts the volume at 19.4 A^3/atom.

It has space group F-43m (No. 216), with a = 6.771 Å, b = 6.771 Å, c = 6.771 Å, α = 90.00°, β = 90.00° and γ = 90.00°. Symmetry generates all atoms from Ce at (0.000, 0.000, 0.000), Zr at (0.000, 0.000, 0.500), Cu at (0.250, 0.250, 0.750) and Os at (0.250, 0.250, 0.250).



(13)
First-principles (GGA-PBE) data for a relaxed CeCu5P3 crystal, as listed in Alexandria.

The energy relative to the elements is -40.2 kJ/mol of atoms. The calculation puts the volume at 14.8 A^3/atom.

It has space group Cmcm (No. 63), with a = 3.794 Å, b = 12.326 Å, c = 11.372 Å, α = 90.00°, β = 90.00° and γ = 90.00°. Symmetry generates all atoms from Ce at (0.000, 0.170, 0.250), Cu at (0.000, 0.000, 0.000), Cu at (0.000, 0.192, 0.554), Cu at (0.000, 0.439, 0.142), P at (0.000, 0.126, 0.750) and P at (0.000, 0.379, 0.563).



(14)
First-principles (GGA-PBE) data for a relaxed CeCu3P2 crystal, as listed in Alexandria.

The energy relative to the elements is -55.4 kJ/mol of atoms. The calculation puts the volume at 15.6 A^3/atom.

It has space group C2/m (No. 12), with a = 14.539 Å, b = 3.874 Å, c = 7.427 Å, α = 90.00°, β = 116.21° and γ = 90.00°. Symmetry generates all atoms from Ce at (0.139, 0.000, 0.049), Cu at (0.055, 0.000, 0.400), Cu at (0.100, 0.500, 0.666), Cu at (0.188, 0.500, 0.438), P at (0.017, 0.500, 0.199) and P at (0.203, 0.000, 0.714).



(15)
First-principles (GGA-PBE) data for a relaxed CeCu2P2 crystal, as listed in Alexandria.

The energy relative to the elements is -59.2 kJ/mol of atoms. The calculation puts the volume at 17.9 A^3/atom.

It has space group Fddd (No. 70, origin choice 2), with a = 7.944 Å, b = 9.303 Å, c = 9.679 Å, α = 90.00°, β = 90.00° and γ = 90.00°. Symmetry generates all atoms from Ce at (0.125, 0.125, 0.125), Cu at (0.125, 0.258, 0.625) and P at (0.125, 0.125, 0.414).



(16)
First-principles (GGA-PBE) data for a relaxed Ce4CuP5 crystal, as listed in Alexandria.

The energy relative to the elements is -109.7 kJ/mol of atoms. The calculation puts the volume at 21.7 A^3/atom.

It has space group R-3m (No. 166, hexagonal axes), with a = 4.1403 Å, b = 4.1403 Å, c = 43.7814 Å, α = 90.00°, β = 90.00° and γ = 120.00°. Symmetry generates all atoms from Ce at (0.0000, 0.0000, 0.1140), Ce at (0.0000, 0.0000, 0.2957), Cu at (0.0000, 0.0000, 0.5000), P at (0.0000, 0.0000, 0.0000), P at (0.0000, 0.0000, 0.1815) and P at (0.0000, 0.0000, 0.4090).



(17)
First-principles (GGA-PBE) data for a relaxed CeCu3P3 crystal, as listed in Alexandria.

The energy relative to the elements is -42.5 kJ/mol of atoms. The calculation puts the volume at 18.2 A^3/atom.

It has space group R-3 (No. 148, hexagonal axes), with a = 6.6660 Å, b = 6.6660 Å, c = 19.8272 Å, α = 90.00°, β = 90.00° and γ = 120.00°. Symmetry generates all atoms from Ce at (0.0000, 0.0000, 0.1668), Cu at (0.0009, 0.6645, 0.0415) and P at (0.0002, 0.3356, 0.7440).



(18)
First-principles (GGA-PBE) data for a relaxed Ce4Cu5P7 crystal, as listed in Alexandria.

The energy relative to the elements is -76.7 kJ/mol of atoms. The calculation puts the volume at 17.7 A^3/atom.

It has space group I-42m (No. 121), with a = 5.407 Å, b = 5.407 Å, c = 19.344 Å, α = 90.00°, β = 90.00° and γ = 90.00°. Symmetry generates all atoms from Ce at (0.243, 0.243, 0.385), Cu at (0.000, 0.000, 0.000), Cu at (0.000, 0.000, 0.250), Cu at (0.000, 0.500, 0.250), P at (0.000, 0.000, 0.500), P at (0.000, 0.500, 0.000) and P at (0.248, 0.248, 0.174).



(19)
First-principles (GGA-PBE) data for a relaxed Ce2CuP3 crystal, as listed in Alexandria.

The energy relative to the elements is -106.9 kJ/mol of atoms. The calculation puts the volume at 20.1 A^3/atom.

It has space group Pnma (No. 62), with a = 7.797 Å, b = 3.992 Å, c = 15.461 Å, α = 90.00°, β = 90.00° and γ = 90.00°. Symmetry generates all atoms from Ce at (0.102, 0.250, 0.219), Ce at (0.250, 0.250, 0.965), Cu at (0.115, 0.250, 0.635), P at (0.016, 0.250, 0.401), P at (0.113, 0.750, 0.076) and P at (0.168, 0.250, 0.782).



(20)
First-principles (GGA-PBE) data for a relaxed Ce2CuP4Pt3 crystal, as listed in Alexandria.

The energy relative to the elements is -88.8 kJ/mol of atoms. The calculation puts the volume at 17.5 A^3/atom.

It has space group P-4m2 (No. 115), with a = 4.314 Å, b = 4.314 Å, c = 9.401 Å, α = 90.00°, β = 90.00° and γ = 90.00°. Symmetry generates all atoms from Ce at (0.000, 0.500, 0.248), Cu at (0.000, 0.000, 0.500), P at (0.000, 0.000, 0.000), P at (0.000, 0.500, 0.629), P at (0.500, 0.500, 0.000), Pt at (0.000, 0.500, 0.885) and Pt at (0.500, 0.500, 0.500).



(21)
First-principles (GGA-PBE) data for a relaxed Ce2CuP3Pt4 crystal, as listed in Alexandria.

The energy relative to the elements is -87.2 kJ/mol of atoms. The calculation puts the volume at 17.6 A^3/atom.

It has space group P-4m2 (No. 115), with a = 4.262 Å, b = 4.262 Å, c = 9.698 Å, α = 90.00°, β = 90.00° and γ = 90.00°. Symmetry generates all atoms from Ce at (0.000, 0.500, 0.248), Cu at (0.500, 0.500, 0.000), P at (0.000, 0.000, 0.000), P at (0.000, 0.500, 0.632), Pt at (0.000, 0.000, 0.500), Pt at (0.000, 0.500, 0.873) and Pt at (0.500, 0.500, 0.500).



(22)
First-principles (GGA-PBE) data for a relaxed Ce3Cu2P4Rh2 crystal, as listed in Alexandria.

The energy relative to the elements is -99.3 kJ/mol of atoms. The calculation puts the volume at 18.5 A^3/atom.

It has space group P-3m1 (No. 164), with a = 4.0804 Å, b = 4.0804 Å, c = 14.1284 Å, α = 90.00°, β = 90.00° and γ = 120.00°. Symmetry generates all atoms from Ce at (0.0000, 0.0000, 0.0000), Ce at (0.0000, 0.0000, 0.2763), Cu at (0.3333, 0.6667, 0.5612), P at (0.3333, 0.6667, 0.3932), P at (0.3333, 0.6667, 0.8506) and Rh at (0.3333, 0.6667, 0.1283).